Pu5PaSb3 after structural relaxation, computed with PBE-GGA.

Its electronic total energy is -10.76 eV/atom. For the formation energy from raw total energies, the calculation gives -0.37 eV per atom.

The space group is P6_3/mcm (No. 193) and the conventional cell measures 9.2411, 9.2411 and 6.2803 Å, with angles of 90.00, 90.00 and 120.00 degrees. The inequivalent atoms are Pu at (0.0000, 0.3245, 0.2500), Pu at (0.3333, 0.6667, 0.0000), Pa at (0.0000, 0.0000, 0.0000) and Sb at (0.0000, 0.3379, 0.7500).